[1]
# TaTcHg2

TaTcHg2 after structural relaxation (GGA-PBEsol, Alexandria via LeMat-Bulk).

Unit cell a=3.9794 b=3.9794 c=4.3876 alpha=90.00 beta=90.00 gamma=90.00
Last column: nearest neighbours and their distance in Å.
Space group P4/mmm (No. 123)
Inequivalent atoms, fractional coordinates:
Ta 0.0000 0.0000 0.0000  4 Tc 2.81, 8 Hg 2.96
Tc 0.5000 0.5000 0.0000  4 Ta 2.81, 8 Hg 2.96
Hg 0.0000 0.5000 0.5000  4 Hg 2.81, 4 Ta 2.96, 4 Tc 2.96

## Properties
Its formation energy is 0.403 eV per atom. The calculated volume comes out at 17.370 A^3/atom. The value obtained for the total magnetization is 0.00 μB per atom. For the energy above the most stable polymorph in this dataset, the calculation gives 0.388 eV per formula unit.

***

[2]
# Ti3Si

Ti3Si after structural relaxation (GGA-PBEsol, Alexandria via LeMat-Bulk).

Unit cell a=10.0368 b=10.0368 c=5.0115 alpha=90.00 beta=90.00 gamma=90.00
Last column: nearest neighbours and their distance in Å.
Space group P4_2/n (No. 86, origin choice 2)
Inequivalent atoms, fractional coordinates:
Ti 0.0329 0.5674 0.2473  3 Si 2.53-2.65, 2 Ti 2.80-2.82
Ti 0.1083 0.2224 0.0326  4 Si 2.56-2.62, 1 Ti 2.82
Ti 0.1434 0.6689 0.7172  2 Si 2.55-2.59, 2 Ti 2.69-2.80
Si 0.0447 0.2083 0.5388  9 Ti 2.53-2.65

## Properties
The calculated volume comes out at 15.776 A^3/atom. The value obtained for the total magnetization is 0.00 μB per atom. Its formation energy (no corrections) is -2.1 eV/f.u.

***

[3]
# HfCuSiAs

HfCuSiAs after structural relaxation (GGA-PBEsol, Alexandria via LeMat-Bulk).

Unit cell a=3.6142 b=3.6142 c=9.4743 alpha=90.00 beta=90.00 gamma=90.00
Last column: nearest neighbours and their distance in Å.
Space group P4/nmm (No. 129, origin choice 2)
Inequivalent atoms, fractional coordinates:
Hf 0.2500 0.2500 0.2219  4 As 2.71, 4 Si 2.77
Cu 0.2500 0.7500 0.5000  4 As 2.49, 4 Cu 2.56
Si 0.2500 0.7500 0.0000  4 Si 2.56, 4 Hf 2.77
As 0.2500 0.2500 0.6814  4 Cu 2.49, 4 Hf 2.71

## Properties
The calculated volume comes out at 15.470 A^3/atom. The value obtained for the total magnetization is 0.00 μB per atom. Its formation energy (no corrections) is -2.4 eV/f.u.

***

[4]
# Tb6CoTe2

Tb6CoTe2 after structural relaxation (GGA-PBEsol, Alexandria via LeMat-Bulk).

Unit cell a=8.2538 b=8.2538 c=3.8439 alpha=90.00 beta=90.00 gamma=120.00
Last column: nearest neighbours and their distance in Å.
Space group P-62m (No. 189)
Inequivalent atoms, fractional coordinates:
Tb 0.0000 0.4030 0.0000  4 Te 3.16, 1 Co 3.33, 6 Tb 3.48-3.54
Tb 0.0000 0.7634 0.5000  2 Co 2.74
Co 0.0000 0.0000 0.0000  6 Tb 2.74
Te 0.3333 0.6667 0.5000  9 Tb 3.16-3.23

## Properties
The calculated volume comes out at 25.198 A^3/atom. The value obtained for the total magnetization is 0.00 μB per atom. Its formation energy (no corrections) is -6.4 eV/f.u.

***

[5]
# NaMnW2C

NaMnW2C after structural relaxation (GGA-PBEsol, Alexandria via LeMat-Bulk).

Unit cell a=4.5787 b=4.5787 c=3.7658 alpha=90.00 beta=90.00 gamma=90.00
Last column: nearest neighbours and their distance in Å.
Space group P4/mmm (No. 123)
Inequivalent atoms, fractional coordinates:
Na 0.0000 0.0000 0.0000  2 C 1.88
Mn 0.5000 0.5000 0.5000  8 W 2.96, 4 C 3.24
W 0.0000 0.5000 0.0000  2 Na 2.29
C 0.0000 0.0000 0.5000  2 Na 1.88

## Properties
Its formation energy is 3.500 eV per atom. The calculated volume comes out at 15.790 A^3/atom. The value obtained for the total magnetization is 0.18 μB per atom.

***

[6]
# Zr2ZnCu

Zr2ZnCu after structural relaxation (GGA-PBEsol, Alexandria via LeMat-Bulk).

Unit cell a=3.1809 b=4.5613 c=9.5625 alpha=90.00 beta=90.00 gamma=90.00
Last column: nearest neighbours and their distance in Å.
Space group Imm2 (No. 44)
Inequivalent atoms, fractional coordinates:
Zr 0.0000 0.0000 0.0000  4 Zn 2.82, 2 Cu 2.90, 2 Zr 3.03
Zr 0.0000 0.5000 0.2301  4 Cu 2.79, 2 Zr 3.03, 4 Zn 3.09-3.12
Zn 0.0000 0.0000 0.4525  2 Cu 2.48
Cu 0.0000 0.5000 0.7541  2 Zn 2.48

## Properties
Its formation energy is -0.144 eV per atom. The calculated volume comes out at 17.343 A^3/atom. The value obtained for the total magnetization is 0.00 μB per atom.

***

[7]
# MnAl2Br

MnAl2Br after structural relaxation (GGA-PBEsol, Alexandria via LeMat-Bulk).

Unit cell a=3.0767 b=3.0767 c=7.6072 alpha=90.00 beta=90.00 gamma=90.00
Last column: nearest neighbours and their distance in Å.
Space group P4mm (No. 99)
Inequivalent atoms, fractional coordinates:
Mn 0.0000 0.0000 0.0000  4 Al 2.67, 4 Br 2.72
Al 0.0000 0.0000 0.4395  8 Al 2.82-3.08
Al 0.5000 0.5000 0.2042  4 Mn 2.67, 4 Al 2.82
Br 0.5000 0.5000 0.7864  4 Mn 2.72

## Properties
The calculated volume comes out at 18.003 A^3/atom. The value obtained for the total magnetization is 0.85 μB per atom. For the energy above the most stable polymorph in this dataset, the calculation gives 0.000 eV per formula unit. Its formation energy (no corrections) is 0.7 eV/f.u.

***

[8]
# MnZnAu2

MnZnAu2 after structural relaxation (GGA-PBEsol, Alexandria via LeMat-Bulk).

Unit cell a=3.3184 b=3.3184 c=5.6376 alpha=90.00 beta=90.00 gamma=90.00
Last column: nearest neighbours and their distance in Å.
Space group P4mm (No. 99)
Inequivalent atoms, fractional coordinates:
Mn 0.0000 0.0000 0.0000  6 Au 2.66-2.91, 4 Zn 2.76
Zn 0.5000 0.5000 0.2588  6 Au 2.67-2.94, 4 Mn 2.76
Au 0.0000 0.0000 0.4830  4 Zn 2.67, 2 Mn 2.72-2.91, 4 Au 2.88
Au 0.5000 0.5000 0.7796  4 Mn 2.66, 2 Zn 2.70-2.94, 4 Au 2.88

## Properties
Its formation energy is -0.023 eV per atom. The calculated volume comes out at 15.520 A^3/atom. The value obtained for the total magnetization is 0.97 μB per atom.

***

[9]
# K2TlPt

K2TlPt after structural relaxation (GGA-PBEsol, Alexandria via LeMat-Bulk).

Unit cell a=3.7459 b=3.7459 c=9.7444 alpha=90.00 beta=90.00 gamma=90.00
Last column: nearest neighbours and their distance in Å.
Space group P4mm (No. 99)
Inequivalent atoms, fractional coordinates:
K 0.0000 0.0000 0.0000  1 Pt 3.29, 4 Tl 3.57
K 0.5000 0.5000 0.4237  1 Tl 3.23, 4 Pt 3.53
Tl 0.5000 0.5000 0.7550  4 Pt 2.80
Pt 0.0000 0.0000 0.6627  4 Tl 2.80

## Properties
Its formation energy is 0.000 eV per atom. The calculated volume comes out at 34.182 A^3/atom. The value obtained for the total magnetization is 0.00 μB per atom. For the energy above the most stable polymorph in this dataset, the calculation gives 0.284 eV per formula unit.

***

[10]
# BaRhSe2N

BaRhSe2N after structural relaxation (GGA-PBEsol, Alexandria via LeMat-Bulk).

Unit cell a=5.8345 b=5.8345 c=4.4341 alpha=90.00 beta=90.00 gamma=90.00
Last column: nearest neighbours and their distance in Å.
Space group P4/mmm (No. 123)
Inequivalent atoms, fractional coordinates:
Ba 0.0000 0.0000 0.0000  2 N 2.22
Rh 0.5000 0.5000 0.5000  8 Se 3.66
Se 0.0000 0.5000 0.0000  2 Ba 2.92
N 0.0000 0.0000 0.5000  2 Ba 2.22

## Properties
The calculated volume comes out at 30.189 A^3/atom. The value obtained for the total magnetization is 0.88 μB per atom. For the energy above the most stable polymorph in this dataset, the calculation gives 11.259 eV per formula unit. Its formation energy (no corrections) is 8.7 eV/f.u.

***

[11]
# K5Ag3

K5Ag3 after structural relaxation (GGA-PBEsol, Alexandria via LeMat-Bulk).

Unit cell a=10.0038 b=10.0038 c=6.9778 alpha=90.00 beta=90.00 gamma=120.00
Last column: nearest neighbours and their distance in Å.
Space group P6_3/mcm (No. 193)
Inequivalent atoms, fractional coordinates:
K 0.0000 0.2597 0.2500  5 Ag 3.42-3.76
K 0.3333 0.6667 0.0000  2 K 3.49, 6 Ag 3.52
Ag 0.0000 0.3985 0.7500  9 K 3.42-3.76

## Properties
Its formation energy is 0.157 eV per atom. The calculated volume comes out at 37.797 A^3/atom. The value obtained for the total magnetization is 0.00 μB per atom.

***

[12]
# AlNiCl2

AlNiCl2 after structural relaxation (GGA-PBEsol, Alexandria via LeMat-Bulk).

Unit cell a=3.2308 b=3.2308 c=23.7025 alpha=90.00 beta=90.00 gamma=120.00
Last column: nearest neighbours and their distance in Å.
Space group R3m (No. 160, hexagonal axes)
Inequivalent atoms, fractional coordinates:
Al 0.0000 0.0000 0.0000  3 Cl 2.48, 3 Ni 2.48
Ni 0.0000 0.0000 0.2644  3 Cl 2.30, 3 Al 2.48
Cl 0.0000 0.0000 0.5409  3 Ni 2.30
Cl 0.0000 0.0000 0.7355  3 Al 2.48

## Properties
The calculated volume comes out at 17.855 A^3/atom. The value obtained for the total magnetization is 0.25 μB per atom. For the energy above the most stable polymorph in this dataset, the calculation gives 0.000 eV per formula unit. Its formation energy (no corrections) is -2.4 eV/f.u.

***

[13]
# Sb2AuSe

Sb2AuSe after structural relaxation (GGA-PBEsol, Alexandria via LeMat-Bulk).

Unit cell a=6.8235 b=3.9289 c=7.4121 alpha=90.00 beta=107.71 gamma=90.00
Last column: nearest neighbours and their distance in Å.
Space group C2/m (No. 12)
Inequivalent atoms, fractional coordinates:
Sb 0.2432 0.0000 0.2297  3 Au 2.79, 3 Se 2.96-2.97
Au 0.0000 0.5000 0.0000  6 Sb 2.79
Se 0.0000 0.0000 0.5000  6 Sb 2.96-2.97

## Properties
The calculated volume comes out at 23.662 A^3/atom. The value obtained for the total magnetization is 0.00 μB per atom. Its formation energy (no corrections) is -0.4 eV/f.u.

***

[14]
# Cr4W3

Cr4W3 after structural relaxation (GGA-PBEsol, Alexandria via LeMat-Bulk).

Unit cell a=2.9802 b=2.9802 c=20.8091 alpha=90.00 beta=90.00 gamma=90.00
Last column: nearest neighbours and their distance in Å.
Space group I4/mmm (No. 139)
Inequivalent atoms, fractional coordinates:
Cr 0.0000 0.0000 0.0717  4 Cr 2.52, 4 W 2.58
Cr 0.0000 0.0000 0.3619  4 Cr 2.52, 4 W 2.58
W 0.0000 0.0000 0.2095  5 Cr 2.58-2.87, 4 W 2.70
W 0.0000 0.0000 0.5000  10 Cr 2.58-2.87

## Properties
Its formation energy is 0.092 eV per atom. The calculated volume comes out at 13.201 A^3/atom. The value obtained for the total magnetization is 0.00 μB per atom.

***

[15]
# Rb2NbAgSe4

Rb2NbAgSe4 after structural relaxation (GGA-PBEsol, Alexandria via LeMat-Bulk).

Unit cell a=6.0032 b=13.7907 c=24.0992 alpha=90.00 beta=90.00 gamma=90.00
Last column: nearest neighbours and their distance in Å.
Space group Fddd (No. 70, origin choice 2)
Inequivalent atoms, fractional coordinates:
Rb 0.1250 0.1250 0.3060  8 Se 3.50-3.75
Nb 0.1250 0.1250 0.1250  4 Se 2.43
Ag 0.1250 0.1250 0.6250  4 Se 2.61
Se 0.0997 0.2709 0.4337  1 Nb 2.43, 1 Ag 2.61

## Properties
The calculated volume comes out at 31.174 A^3/atom. The value obtained for the total magnetization is 0.00 μB per atom. Its formation energy (no corrections) is -7.1 eV/f.u.

***

[16]
# ReOsPt

ReOsPt after structural relaxation (GGA-PBEsol, Alexandria via LeMat-Bulk).

Unit cell a=5.9013 b=5.9013 c=5.9013 alpha=90.00 beta=90.00 gamma=90.00
Last column: nearest neighbours and their distance in Å.
Space group F-43m (No. 216)
Inequivalent atoms, fractional coordinates:
Re 0.0000 0.0000 0.0000  4 Pt 2.56
Os 0.0000 0.0000 0.5000  4 Pt 2.56
Pt 0.2500 0.2500 0.2500  4 Re 2.56, 4 Os 2.56

## Properties
Its formation energy is 1.158 eV per atom. The calculated volume comes out at 17.126 A^3/atom. The value obtained for the total magnetization is 0.00 μB per atom. For the energy above the most stable polymorph in this dataset, the calculation gives 3.564 eV per formula unit.

***

[17]
# CdHgTe

CdHgTe after structural relaxation (GGA-PBEsol, Alexandria via LeMat-Bulk).

Unit cell a=3.1202 b=3.1202 c=8.9821 alpha=90.00 beta=90.00 gamma=120.00
Last column: nearest neighbours and their distance in Å.
Space group P3m1 (No. 156)
Inequivalent atoms, fractional coordinates:
Cd 0.0000 0.0000 0.0000  6 Cd 3.12, 3 Hg 3.29
Hg 0.3333 0.6667 0.6938  6 Hg 3.12, 3 Cd 3.29
Te 0.6667 0.3333 0.3412  6 Te 3.12

## Properties
The calculated volume comes out at 25.244 A^3/atom. The value obtained for the total magnetization is 0.00 μB per atom. Its formation energy (no corrections) is 0.4 eV/f.u.

***

[18]
# B2NCl3

B2NCl3 after structural relaxation (GGA-PBEsol, Alexandria via LeMat-Bulk).

Unit cell a=10.0643 b=10.0643 c=16.7793 alpha=90.00 beta=90.00 gamma=90.00
Last column: nearest neighbours and their distance in Å.
Space group P4_12_12 (No. 92)
Inequivalent atoms, fractional coordinates:
B 0.0164 0.0997 0.0648  2 N 1.43
B 0.0957 0.0957 0.5000  1 N 1.46
B 0.1267 0.2929 0.1326  1 N 1.46
B 0.2087 0.2087 0.0000  2 N 1.44
N 0.0072 0.0072 0.0000  3 B 1.43-1.46
N 0.1177 0.2000 0.0657  3 B 1.43-1.46
Cl 0.0450 0.5679 0.3737  1 B 1.74
Cl 0.0728 0.2429 0.5526  1 B 1.74
Cl 0.0916 0.8990 0.8573  1 B 1.77
Cl 0.1672 0.8328 0.2500  1 B 1.77
Cl 0.1965 0.2430 0.2228  1 B 1.74

## Properties
The calculated volume comes out at 23.605 A^3/atom. The value obtained for the total magnetization is 0.00 μB per atom. Its formation energy (no corrections) is -6.1 eV/f.u.

***

[19]
# NaSbAsAu2

NaSbAsAu2 after structural relaxation (GGA-PBEsol, Alexandria via LeMat-Bulk).

Unit cell a=4.8265 b=4.8265 c=4.9160 alpha=90.00 beta=90.00 gamma=90.00
Last column: nearest neighbours and their distance in Å.
Space group P4/mmm (No. 123)
Inequivalent atoms, fractional coordinates:
Na 0.0000 0.0000 0.0000  4 Au 2.41, 2 As 2.46
Sb 0.5000 0.5000 0.5000  4 As 3.41, 8 Au 3.44
As 0.0000 0.0000 0.5000  2 Na 2.46
Au 0.0000 0.5000 0.0000  2 Na 2.41

## Properties
The calculated volume comes out at 22.904 A^3/atom. The value obtained for the total magnetization is 0.00 μB per atom. Its formation energy (no corrections) is 4.6 eV/f.u.

***

[20]
# LaBeAs2

LaBeAs2 after structural relaxation (GGA-PBEsol, Alexandria via LeMat-Bulk).

Unit cell a=4.2885 b=4.2885 c=14.9538 alpha=90.00 beta=90.00 gamma=120.00
Last column: nearest neighbours and their distance in Å.
Space group R-3m (No. 166, hexagonal axes)
Inequivalent atoms, fractional coordinates:
La 0.0000 0.0000 0.0000  8 As 3.07-3.17
Be 0.0000 0.0000 0.5000  6 As 2.57
As 0.0000 0.0000 0.2121  3 Be 2.57, 3 As 2.82

## Properties
Its formation energy is -0.503 eV per atom. The calculated volume comes out at 19.848 A^3/atom. The value obtained for the total magnetization is 0.00 μB per atom.

***

[21]
# GeAs2Au

GeAs2Au after structural relaxation (GGA-PBEsol, Alexandria via LeMat-Bulk).

Unit cell a=5.8130 b=5.8130 c=11.1341 alpha=90.00 beta=90.00 gamma=90.00
Last column: nearest neighbours and their distance in Å.
Space group I-42d (No. 122)
Inequivalent atoms, fractional coordinates:
Ge 0.0000 0.0000 0.0000  4 As 2.47
As 0.2469 0.2500 0.1250  2 Ge 2.47, 2 Au 2.49
Au 0.0000 0.0000 0.5000  4 As 2.49

## Properties
Its formation energy is 0.054 eV per atom. The calculated volume comes out at 23.515 A^3/atom. The value obtained for the total magnetization is 0.00 μB per atom.

***

[22]
# TaHg3Rh

TaHg3Rh after structural relaxation (GGA-PBEsol, Alexandria via LeMat-Bulk).

Unit cell a=5.1780 b=5.1780 c=5.1780 alpha=90.00 beta=90.00 gamma=90.00
Last column: nearest neighbours and their distance in Å.
Space group Pm-3m (No. 221)
Inequivalent atoms, fractional coordinates:
Ta 0.0000 0.0000 0.0000  6 Hg 2.59
Hg 0.0000 0.0000 0.5000  2 Ta 2.59
Rh 0.5000 0.5000 0.5000  12 Hg 3.66

## Properties
Its formation energy is 1.621 eV per atom. The calculated volume comes out at 27.765 A^3/atom. The value obtained for the total magnetization is 0.15 μB per atom.